Density functional theory data (PBE+U) for a relaxed Fe3BO5 crystal.

```
data_Fe3BO5
_chemical_formula_sum 'Fe12 B4 O20'
_cell_length_a 9.639
_cell_length_b 12.496
_cell_length_c 3.101
_cell_angle_alpha 90.00
_cell_angle_beta 90.00
_cell_angle_gamma 90.00
_space_group_name_H-M_alt 'P b a m'
_space_group_IT_number 55
_space_group_name_Hall '-P 2 2ab'
loop_
_atom_site_label
_atom_site_type_symbol
_atom_site_fract_x
_atom_site_fract_y
_atom_site_fract_z
Fe1 Fe 0.000 0.000 0.000
Fe2 Fe 0.000 0.500 0.500
Fe3 Fe 0.002 0.225 0.500
Fe4 Fe 0.244 0.614 0.000
B1 B 0.234 0.362 0.000
O1 O 0.112 0.641 0.500
O2 O 0.119 0.083 0.500
O3 O 0.122 0.861 0.000
O4 O 0.160 0.458 0.000
O5 O 0.162 0.266 0.000
```

Results
Crystal system = orthorhombic
Calculated volume = 10.38 Å³/atom
E_tot = -7.13 eV/atom